This record from Alexandria via LeMat-Bulk describes a geometry-optimized GdHoHg structure. The functional is GGA-PBE.

Calculated values
* E above lowest polymorph: 0.127 eV/atom
* total magnetic moment: 7.31 μB/f.u.
* energy of formation from the pure elements: -0.58 eV per formula unit
* N(E_F): 2.8 states/eV/cell

Unit cell a=3.712 b=5.141 c=5.141 alpha=120.00 beta=90.00 gamma=90.00
Atoms (fractional coordinates):
Hg 0.723 0.667 0.333
Gd 0.370 0.333 0.667
Ho 0.907 0.000 0.000